# 1
# Pm4Zn5Co2

A relaxed structure of Pm4Zn5Co2 (PBE-GGA, Alexandria).

The space group is P2/m (No. 10) and the conventional cell measures 6.9553, 3.8807 and 8.8153 Å, with angles of 90.00, 94.76 and 90.00 degrees. The inequivalent atoms are Pm at (0.1738, 0.0000, 0.3535), Pm at (0.2456, 0.0000, 0.9330), Zn at (0.1902, 0.5000, 0.6544), Zn at (0.4338, 0.5000, 0.1901), Zn at (0.5000, 0.5000, 0.5000) and Co at (0.0582, 0.5000, 0.1294).

The energy of formation is -0.2175 eV per atom. Its volume is 237.12 Å³ per cell. The calculation puts the calculated total energy at -0.1402 hartree per atom.

=====

# 2
# Pu2GaRh

A relaxed structure of Pu2GaRh (PBE-GGA, Alexandria).

The space group is Pnma (No. 62) and the conventional cell measures 5.7553, 12.2034 and 4.1007 Å, with angles of 90.00, 90.00 and 90.00 degrees. The inequivalent atoms are Pu at (0.1794, 0.0434, 0.0102), Ga at (0.0612, 0.7500, 0.2528) and Rh at (0.1919, 0.2500, 0.2613).

The energy of formation is -0.1744 eV per atom. Its volume is 288.01 Å³ per cell. The calculation puts the calculated total energy at -0.3651 hartree per atom.

=====

# 3
# Nd4TlCd2

A relaxed structure of Nd4TlCd2 (PBE-GGA, Alexandria).

The space group is Cmmm (No. 65) and the conventional cell measures 7.7474, 10.7835 and 5.3192 Å, with angles of 90.00, 90.00 and 90.00 degrees. The inequivalent atoms are Nd at (0.2367, 0.0000, 0.0000), Nd at (0.2500, 0.2500, 0.5000), Tl at (0.0000, 0.5000, 0.5000) and Cd at (0.0000, 0.2580, 0.0000).

The energy of formation is -0.1919 eV per atom. Its volume is 444.39 Å³ per cell. The calculation puts the calculated total energy at -0.1292 hartree per atom.

=====

# 4
# La2LuAl

A relaxed structure of La2LuAl (PBE-GGA, Alexandria).

The space group is P4/mmm (No. 123) and the conventional cell measures 4.8445, 4.8445 and 4.9653 Å, with angles of 90.00, 90.00 and 90.00 degrees. The inequivalent atoms are La at (0.0000, 0.5000, 0.0000), Lu at (0.0000, 0.0000, 0.5000) and Al at (0.5000, 0.5000, 0.5000).

The energy of formation is -0.1571 eV per atom. Its volume is 116.53 Å³ per cell. The calculation puts the calculated total energy at -0.1722 hartree per atom. For the excess energy over the best structure of this formula in the dataset, the calculation gives 0 meV per atom.

=====

# 5
# NaThMg2

A relaxed structure of NaThMg2 (PBE-GGA, Alexandria).

The space group is P4/mmm (No. 123) and the conventional cell measures 3.3453, 3.3453 and 10.1630 Å, with angles of 90.00, 90.00 and 90.00 degrees. The inequivalent atoms are Na at (0.0000, 0.0000, 0.0000), Th at (0.0000, 0.0000, 0.5000) and Mg at (0.5000, 0.5000, 0.2530).

The energy of formation is 0.0929 eV per atom. Its volume is 113.74 Å³ per cell. The calculation puts the calculated total energy at -0.1062 hartree per atom.

=====

# 6
# TcRu2Rh

A relaxed structure of TcRu2Rh (PBE-GGA, Alexandria).

The space group is I-42d (No. 122) and the conventional cell measures 5.5620, 5.5620 and 10.7759 Å, with angles of 90.00, 90.00 and 90.00 degrees. The inequivalent atoms are Tc at (0.0000, 0.0000, 0.0000), Ru at (0.2469, 0.2500, 0.1250) and Rh at (0.0000, 0.0000, 0.5000).

The energy of formation is 1.1346 eV per atom. Its volume is 333.36 Å³ per cell. The calculation puts the calculated total energy at -0.2915 hartree per atom. For the excess energy over the best structure of this formula in the dataset, the calculation gives 1210 meV per atom.

=====

# 7
# CsHPd

A relaxed structure of CsHPd (PBE-GGA, Alexandria).

The space group is P-6m2 (No. 187) and the conventional cell measures 3.5779, 3.5779 and 5.4533 Å, with angles of 90.00, 90.00 and 120.00 degrees. The inequivalent atoms are Cs at (0.0000, 0.0000, 0.0000), H at (0.6667, 0.3333, 0.5000) and Pd at (0.3333, 0.6667, 0.5000).

Its volume is 60.46 Å³ per cell. The calculation puts the calculated total energy at -0.1099 hartree per atom. For the excess energy over the best structure of this formula in the dataset, the calculation gives 403 meV per atom.

=====

# 8
# KCa2Co

A relaxed structure of KCa2Co (PBE-GGA, Alexandria).

The space group is C2/m (No. 12) and the conventional cell measures 7.4031, 3.8570 and 10.6105 Å, with angles of 90.00, 98.56 and 90.00 degrees. The inequivalent atoms are K at (0.0000, 0.0000, 0.0000), Ca at (0.2145, 0.0000, 0.6474) and Co at (0.0000, 0.5000, 0.5000).

The energy of formation is 0.3459 eV per atom. Its volume is 299.59 Å³ per cell. The calculation puts the calculated total energy at -0.0994 hartree per atom. For the excess energy over the best structure of this formula in the dataset, the calculation gives 55 meV per atom.

=====

# 9
# Tb3Nd4Tm5

A relaxed structure of Tb3Nd4Tm5 (PBE-GGA, Alexandria).

The space group is C2/m (No. 12) and the conventional cell measures 16.0398, 5.9244 and 9.3736 Å, with angles of 90.00, 116.88 and 90.00 degrees. The inequivalent atoms are Tb at (0.0000, 0.0000, 0.0000), Tb at (0.2139, 0.5000, 0.2402), Nd at (0.0857, 0.5000, 0.4482), Nd at (0.2153, 0.5000, 0.8845), Tm at (0.0000, 0.5000, 0.0000), Tm at (0.0696, 0.0000, 0.7014) and Tm at (0.1699, 0.0000, 0.3807).

The energy of formation is 0.2305 eV per atom. Its volume is 794.49 Å³ per cell. The calculation puts the calculated total energy at -0.1609 hartree per atom.

=====

# 10
# BeRuO2F

A relaxed structure of BeRuO2F (PBE-GGA, Alexandria).

The space group is P4/mmm (No. 123) and the conventional cell measures 3.8404, 3.8404 and 4.1831 Å, with angles of 90.00, 90.00 and 90.00 degrees. The inequivalent atoms are Be at (0.0000, 0.0000, 0.0000), Ru at (0.5000, 0.5000, 0.5000), O at (0.0000, 0.5000, 0.5000) and F at (0.5000, 0.5000, 0.0000).

As for the formation energy (no corrections): -0.3031 eV/atom. Its volume is 61.69 Å³ per cell. The calculation puts the calculated total energy at -0.1933 hartree per atom.

=====

# 11
# SmMgPd4

A relaxed structure of SmMgPd4 (PBE-GGA, Alexandria).

The space group is C2/m (No. 12) and the conventional cell measures 9.5840, 3.7729 and 6.3322 Å, with angles of 90.00, 109.98 and 90.00 degrees. The inequivalent atoms are Sm at (0.0000, 0.0000, 0.0000), Mg at (0.0000, 0.0000, 0.5000), Pd at (0.1611, 0.5000, 0.3515) and Pd at (0.1686, 0.5000, 0.8111).

The energy of formation is -0.6237 eV per atom. Its volume is 215.19 Å³ per cell. The calculation puts the calculated total energy at -0.1888 hartree per atom.

=====

# 12
# Cr2SiB2Ru5

A relaxed structure of Cr2SiB2Ru5 (PBE-GGA, Alexandria).

The space group is P4/mbm (No. 127) and the conventional cell measures 9.1254, 9.1254 and 2.8966 Å, with angles of 90.00, 90.00 and 90.00 degrees. The inequivalent atoms are Cr at (0.1774, 0.3226, 0.0000), Si at (0.0000, 0.0000, 0.0000), B at (0.1261, 0.6261, 0.0000), Ru at (0.0000, 0.5000, 0.5000) and Ru at (0.0703, 0.7911, 0.5000).

As for the formation energy (no corrections): -0.3034 eV/atom. Its volume is 241.21 Å³ per cell. The calculation puts the calculated total energy at -0.3213 hartree per atom.

=====

# 13
# HoHgBi2

A relaxed structure of HoHgBi2 (PBE-GGA, Alexandria).

The space group is P4/mmm (No. 123) and the conventional cell measures 4.2301, 4.2301 and 6.5795 Å, with angles of 90.00, 90.00 and 90.00 degrees. The inequivalent atoms are Ho at (0.0000, 0.0000, 0.0000), Hg at (0.0000, 0.0000, 0.5000) and Bi at (0.5000, 0.5000, 0.2325).

The energy of formation is -0.3567 eV per atom. Its volume is 117.73 Å³ per cell. The calculation puts the calculated total energy at -0.1292 hartree per atom. For the excess energy over the best structure of this formula in the dataset, the calculation gives 0 meV per atom.

=====

# 14
# Sm4InSn2

A relaxed structure of Sm4InSn2 (PBE-GGA, Alexandria).

The space group is R-3m (No. 166, hexagonal axes) and the conventional cell measures 5.0149, 5.0149 and 32.2738 Å, with angles of 90.00, 90.00 and 120.00 degrees. The inequivalent atoms are Sm at (0.0000, 0.0000, 0.1208), Sm at (0.0000, 0.0000, 0.2972), In at (0.0000, 0.0000, 0.5000) and Sn at (0.0000, 0.0000, 0.4025).

The energy of formation is -0.4141 eV per atom. Its volume is 702.92 Å³ per cell. The calculation puts the calculated total energy at -0.1707 hartree per atom.

=====

# 15
# MnCuHgAu2

A relaxed structure of MnCuHgAu2 (PBE-GGA, Alexandria).

The space group is P4/mmm (No. 123) and the conventional cell measures 4.8369, 4.8369 and 4.8354 Å, with angles of 90.00, 90.00 and 90.00 degrees. The inequivalent atoms are Mn at (0.0000, 0.0000, 0.0000), Cu at (0.5000, 0.5000, 0.5000), Hg at (0.5000, 0.5000, 0.0000) and Au at (0.0000, 0.5000, 0.5000).

The energy of formation is 0.6166 eV per atom. Its volume is 113.13 Å³ per cell. The calculation puts the calculated total energy at -0.1252 hartree per atom.

=====

# 16
# CaMg10Zn3

A relaxed structure of CaMg10Zn3 (PBE-GGA, Alexandria).

The space group is Fm-3m (No. 225) and the conventional cell measures 13.8577, 13.8577 and 13.8577 Å, with angles of 90.00, 90.00 and 90.00 degrees. The inequivalent atoms are Ca at (0.2500, 0.2500, 0.2500), Mg at (0.0000, 0.1707, 0.1707), Mg at (0.1129, 0.1129, 0.3871) and Zn at (0.0000, 0.0000, 0.2680).

The energy of formation is 0.0053 eV per atom. Its volume is 2661.17 Å³ per cell. The calculation puts the calculated total energy at -0.0569 hartree per atom.

=====

# 17
# PmPrGaCu

A relaxed structure of PmPrGaCu (PBE-GGA, Alexandria).

The space group is F-43m (No. 216) and the conventional cell measures 7.3175, 7.3175 and 7.3175 Å, with angles of 90.00, 90.00 and 90.00 degrees. The inequivalent atoms are Pm at (0.0000, 0.0000, 0.0000), Pr at (0.0000, 0.0000, 0.5000), Ga at (0.2500, 0.2500, 0.7500) and Cu at (0.2500, 0.2500, 0.2500).

The energy of formation is -0.3365 eV per atom. Its volume is 391.82 Å³ per cell. The calculation puts the calculated total energy at -0.1654 hartree per atom. For the excess energy over the best structure of this formula in the dataset, the calculation gives 5 meV per atom.

=====

# 18
# Nb6CuRh12

A relaxed structure of Nb6CuRh12 (PBE-GGA, Alexandria).

The space group is R-3 (No. 148, hexagonal axes) and the conventional cell measures 9.6087, 9.6087 and 11.2852 Å, with angles of 90.00, 90.00 and 120.00 degrees. The inequivalent atoms are Nb at (0.0207, 0.5987, 0.2207), Cu at (0.0000, 0.0000, 0.5000), Rh at (0.0370, 0.8547, 0.3267) and Rh at (0.0532, 0.1988, 0.9061).

The energy of formation is -0.2656 eV per atom. Its volume is 902.35 Å³ per cell. The calculation puts the calculated total energy at -0.3052 hartree per atom.

=====

# 19
# Nd2Ga7Pd

A relaxed structure of Nd2Ga7Pd (PBE-GGA, Alexandria).

The space group is P-4m2 (No. 115) and the conventional cell measures 4.2805, 4.2805 and 10.7850 Å, with angles of 90.00, 90.00 and 90.00 degrees. The inequivalent atoms are Nd at (0.0000, 0.5000, 0.2467), Ga at (0.0000, 0.0000, 0.0000), Ga at (0.0000, 0.0000, 0.5000), Ga at (0.0000, 0.5000, 0.6404), Ga at (0.0000, 0.5000, 0.8701), Ga at (0.5000, 0.5000, 0.5000) and Pd at (0.5000, 0.5000, 0.0000).

The energy of formation is -0.5674 eV per atom. Its volume is 197.61 Å³ per cell. The calculation puts the calculated total energy at -0.1528 hartree per atom.

=====

# 20
# La2SeCl

A relaxed structure of La2SeCl (PBE-GGA, Alexandria).

The space group is Fm-3m (No. 225) and the conventional cell measures 7.3625, 7.3625 and 7.3625 Å, with angles of 90.00, 90.00 and 90.00 degrees. The inequivalent atoms are La at (0.2500, 0.2500, 0.2500), Se at (0.0000, 0.0000, 0.0000) and Cl at (0.0000, 0.0000, 0.5000).

As for the formation energy (no corrections): -1.5860 eV/atom. Its volume is 399.09 Å³ per cell. The calculation puts the calculated total energy at -0.1978 hartree per atom. For the excess energy over the best structure of this formula in the dataset, the calculation gives 191 meV per atom.